(1)
Below is crystalline PrEr3Sc6 at its relaxed geometry, with properties calculated at the PBE-GGA level.

## Properties
Total magnetization = 0.00 μB per atom
ρ = 5.514 g/cm³
Excess energy over the best structure of this formula in the dataset = 0.0 kJ/mol of atoms
Energy of formation from the pure elements = 15 kJ/mol of atoms

POSCAR file:
```
PrEr3Sc6
1.0
-3.4440 -4.7579 0.0469
8.3872 -6.0653 0.5932
-4.5053 3.3472 8.7169
Sc Er Pr
12 6 2
Direct
0.5103 0.2741 0.3817
0.4274 0.9508 0.0492
0.9274 0.0492 0.9508
0.8600 0.4487 0.0154
0.6292 0.2991 0.7009
0.1292 0.7009 0.2991
0.3600 0.5513 0.9846
0.8600 0.9846 0.5513
0.3600 0.0154 0.4487
0.0103 0.3817 0.2741
0.5103 0.6183 0.7259
0.0103 0.7259 0.6183
0.0675 0.3984 0.6016
0.9686 0.7168 0.9243
0.9686 0.0757 0.2832
0.4686 0.9243 0.7168
0.5675 0.6016 0.3984
0.4686 0.2832 0.0757
0.1835 0.2139 0.7861
0.6835 0.7861 0.2139
```



(2)
Below is crystalline HPdW2I at its relaxed geometry, with properties calculated at the PBE-GGA level.

## Properties
Total magnetization = 0.04 μB per atom
ρ = 8.309 g/cm³
Raw total energy = -4.27 eV per atom

POSCAR file:
```
HPdW2I
1.0
-2.9892 -0.1726 -3.9304
-3.3546 -2.4422 2.6585
-2.0409 4.2881 1.3639
W I Pd H
2 1 1 1
Direct
0.0000 0.0000 0.5000
0.5000 0.0000 0.0000
0.0000 0.0000 0.0000
0.0000 0.5000 0.0000
0.5000 0.5000 0.5000
```



(3)
Below is crystalline Sc2Be2GaPt5 at its relaxed geometry, with properties calculated at the PBE-GGA level.

## Properties
Total magnetization = 0.00 μB per atom
ρ = 12.906 g/cm³
Energy of formation from the pure elements = -96 kJ/mol of atoms

POSCAR file:
```
Sc2Be2GaPt5
1.0
-0.7330 -2.9076 1.7130
6.4618 2.0880 6.3092
-6.3478 4.5444 4.9974
Pt Sc Ga Be
10 4 2 4
Direct
0.5000 0.0000 0.5000
0.5000 0.4293 0.2898
0.5000 0.5707 0.7102
0.5000 0.2898 0.5707
0.5000 0.2102 0.0707
0.5000 0.5000 0.0000
0.5000 0.7898 0.9293
0.5000 0.0707 0.7898
0.5000 0.7102 0.4293
0.5000 0.9293 0.2102
0.0000 0.3247 0.8247
0.0000 0.6753 0.1753
0.0000 0.8247 0.6753
0.0000 0.1753 0.3247
0.0000 0.0000 0.0000
0.0000 0.5000 0.5000
0.0000 0.3782 0.1218
0.0000 0.8782 0.3782
0.0000 0.6218 0.8782
0.0000 0.1218 0.6218
```



(4)
Below is crystalline Na3Cd7Pb2 at its relaxed geometry, with properties calculated at the PBE-GGA level.

## Properties
Total magnetization = 0.00 μB per atom
ρ = 6.446 g/cm³
Energy of formation from the pure elements = -6 kJ/mol of atoms

POSCAR file:
```
Na3Cd7Pb2
1.0
-3.5970 -1.5210 4.5824
-3.7090 -4.7140 -0.5207
5.0004 -8.3437 5.1110
Cd Na Pb
7 3 2
Direct
0.5927 0.5927 0.7299
0.9154 0.4073 0.2701
0.5927 0.0846 0.7299
0.4073 0.4073 0.2701
0.0846 0.5927 0.7299
0.5000 0.5000 0.5000
0.4073 0.9154 0.2701
0.1442 0.1442 0.5674
0.0000 0.0000 0.0000
0.8558 0.8558 0.4326
0.3340 0.3340 0.9979
0.6660 0.6660 0.0021
```



(5)
Below is crystalline DyY3S4 at its relaxed geometry, with properties calculated at the PBE-GGA level.

## Properties
Formation energy (no corrections) = -1.9938 eV/atom
Total magnetization = 0.00 μB per atom
ρ = 5.454 g/cm³
Excess energy over the best structure of this formula in the dataset = 0.0 kJ/mol of atoms

POSCAR file:
```
DyY3S4
1.0
3.8870 0.0000 0.0000
0.0000 6.4374 -2.1866
0.0000 -0.0455 6.7985
S Y Dy
4 3 1
Direct
0.0000 0.2493 0.2493
0.5000 0.7504 0.2496
0.5000 0.2496 0.7504
0.0000 0.7507 0.7507
0.0000 0.0000 0.5000
0.5000 0.5000 0.5000
0.0000 0.5000 0.0000
0.5000 0.0000 0.0000
```



(6)
Below is crystalline K2NaF at its relaxed geometry, with properties calculated at the PBE-GGA level.

## Properties
Formation energy (no corrections) = -0.8277 eV/atom
Total magnetization = 0.00 μB per atom
ρ = 1.364 g/cm³
Excess energy over the best structure of this formula in the dataset = 44.5 kJ/mol of atoms

POSCAR file:
```
K2NaF
1.0
5.7392 -0.1099 1.4287
1.9100 -3.5881 4.2976
3.2914 -4.7290 -1.3399
Na K F
1 2 1
Direct
0.5000 0.5000 0.5000
0.7500 0.7500 0.7500
0.2500 0.2500 0.2500
0.0000 0.0000 0.0000
```